Computed, not measured: a relaxed structure of YTm2In3PtAu2 at the GGA-PBE level of DFT. Values from VASP.

```
&SYSTEM
  ibrav = 0, nat = 9, ntyp = 5
/
ATOMIC_SPECIES
Y 88.91 Y.upf
Tm 168.93 Tm.upf
In 114.82 In.upf
Pt 195.08 Pt.upf
Au 196.97 Au.upf
CELL_PARAMETERS angstrom
3.927 0.000 0.000
0.000 6.667 3.841
0.000 -6.667 3.841
ATOMIC_POSITIONS crystal
Y 0.000 0.000 0.000
Tm 0.000 0.198 0.599
Tm 0.000 0.599 0.198
In 0.500 0.340 0.340
In 0.500 0.599 0.856
In 0.500 0.856 0.599
Pt 0.000 0.596 0.596
Au 0.500 0.269 0.931
Au 0.500 0.931 0.269
```

Calculated values
SG = Amm2
Total DFT energy (no corrections) = -43.7 eV/cell
V = 22.3 A^3/atom